{"formula": "Rb2TlAgF5", "functional": "PBE", "state": "relaxed", "lattice_angstrom": [[4.316, 0.000, 0.000], [0.000, 4.316, 0.000], [0.000, 0.000, 9.942]], "species": ["Rb", "Tl", "F", "Rb", "F", "F", "F", "Ag", "F"], "frac_coords": [[0.500, 0.500, 0.718], [0.000, 0.000, 0.000], [0.000, 0.000, 0.259], [0.500, 0.500, 0.282], [0.500, 0.500, 0.000], [0.000, 0.500, 0.500], [0.500, 0.000, 0.500], [0.000, 0.000, 0.500], [0.000, 0.000, 0.741]], "sg": "P4/mmm (123)", "volume_a3_per_atom": 20.57, "raw_formation_energy_ev_per_atom": -2.01, "magnetic_moment_mub_per_fu": 0.0}